# InGaHgBr4

A relaxed InGaHgBr4 crystal (PBE-GGA, Alexandria via LeMat-Bulk).

Results
The spin magnetization comes out at 0.00 μB/atom. Its density of states at the Fermi level is 0.00 states/eV/f.u. The value obtained for the uncorrected formation energy is -4.6 eV/f.u.

Cell and atoms, written as CIF:
```
data_InGaHgBr4
_cell_length_a 12.7653
_cell_length_b 10.4250
_cell_length_c 9.7797
_cell_angle_alpha 90.00
_cell_angle_beta 106.42
_cell_angle_gamma 90.00
_symmetry_space_group_name_H-M 'C 1 2/m 1'
_symmetry_Int_Tables_number 12
_symmetry_space_group_name_Hall '-C 2y'
loop_
_atom_site_label
_atom_site_type_symbol
_atom_site_fract_x
_atom_site_fract_y
_atom_site_fract_z
In1 In 0.2442 0.0000 0.0937
Ga1 Ga 0.1581 0.5000 0.2713
Hg1 Hg 0.0145 0.0000 0.8167
Br1 Br 0.0185 0.5000 0.6979
Br2 Br 0.1758 0.3204 0.1254
Br3 Br 0.2058 0.0000 0.5125
```

---

# Nb4Se

A relaxed Nb4Se crystal (PBE-GGA, Alexandria via LeMat-Bulk).

Results
The spin magnetization comes out at 0.00 μB/atom. Its density of states at the Fermi level is 4.24 states/eV/f.u. The value obtained for the uncorrected formation energy is 3.4 eV/f.u.

Cell and atoms, written as CIF:
```
data_Nb4Se
_cell_length_a 4.7156
_cell_length_b 4.7156
_cell_length_c 4.7156
_cell_angle_alpha 90.00
_cell_angle_beta 90.00
_cell_angle_gamma 90.00
_symmetry_space_group_name_H-M 'P m -3 m'
_symmetry_Int_Tables_number 221
_symmetry_space_group_name_Hall '-P 4 2 3'
loop_
_atom_site_label
_atom_site_type_symbol
_atom_site_fract_x
_atom_site_fract_y
_atom_site_fract_z
Nb1 Nb 0.0000 0.0000 0.0000
Nb2 Nb 0.0000 0.5000 0.5000
Se1 Se 0.5000 0.5000 0.5000
```